14
Lattice="7.621 0.000 0.000 0.000 7.621 0.000 0.000 0.000 7.621" Properties=species:S:1:pos:R:3 comment="PBE SrBi3Pt3, relaxed" magmom_total_mub_per_cell=0.00 volume_a3_per_atom=31.6 e_above_lowest_polymorph_kj_per_mol_fu=186 ef_ev_per_atom=-0.202 pbc="T T T"
Sr 0.000 0.000 0.000
Sr 3.811 3.811 3.811
Bi 0.000 1.905 3.811
Bi 0.000 5.716 3.811
Bi 1.905 3.811 0.000
Bi 3.811 0.000 1.905
Bi 3.811 0.000 5.716
Bi 5.716 3.811 0.000
Pt 0.000 3.811 1.905
Pt 0.000 3.811 5.716
Pt 1.905 0.000 3.811
Pt 3.811 1.905 0.000
Pt 3.811 5.716 0.000
Pt 5.716 0.000 3.811

=====

10
Lattice="-2.406 6.133 3.276 2.406 -6.133 3.276 2.406 6.133 -3.276" Properties=species:S:1:pos:R:3 comment="PBE Sc3GaN, relaxed" magmom_total_mub_per_cell=0.00 volume_a3_per_atom=19.3 raw_formation_energy_mev_per_atom=-839 pbc="T T T"
Sc 2.406 3.066 -0.626
Sc 0.000 1.449 0.651
Sc 0.000 4.684 0.651
Sc 2.406 1.449 2.626
Sc 2.406 4.684 2.626
Sc 0.000 3.066 3.902
Ga 2.406 0.000 0.000
Ga 0.000 0.000 3.276
N 2.406 -3.066 2.668
N 0.000 9.199 0.609

=====

4
Lattice="3.176 0.000 0.000 0.000 5.259 0.000 -0.513 0.000 6.217" Properties=species:S:1:pos:R:3 comment="PBE Ca2TaCd, relaxed" magmom_total_mub_per_cell=0.00 volume_a3_per_atom=26.0 ef_ev_per_atom=0.477 pbc="T T T"
Ca 0.000 0.000 0.000
Ca 0.066 2.629 4.120
Ta 1.598 0.000 2.874
Cd 1.664 2.629 1.332

=====

11
Lattice="5.916 -2.625 0.000 5.916 2.625 0.000 -3.495 0.000 12.966" Properties=species:S:1:pos:R:3 comment="PBE La3Pr8, relaxed" magmom_total_mub_per_cell=0.00 volume_a3_per_atom=36.6 e_above_lowest_polymorph_kj_per_mol_fu=0 ef_ev_per_atom=0.015 pbc="T T T"
La 0.000 0.000 0.000
La -1.163 0.000 8.258
La 9.501 0.000 4.708
Pr 1.200 0.000 3.536
Pr 0.047 0.000 11.783
Pr 2.393 0.000 7.065
Pr 4.749 0.000 2.349
Pr 3.588 0.000 10.617
Pr 5.944 0.000 5.901
Pr 8.290 0.000 1.182
Pr 7.137 0.000 9.430

=====

18
Lattice="2.785 -9.902 0.000 2.785 9.902 0.000 0.000 0.000 10.364" Properties=species:S:1:pos:R:3 comment="PBE Tb5PrTm2Sc, relaxed" magmom_total_mub_per_cell=0.00 volume_a3_per_atom=31.8 ef_ev_per_atom=0.175 pbc="T T T"
Tb 2.785 9.546 5.182
Tb 2.785 4.424 8.316
Tb 2.785 3.992 1.940
Tb 2.785 2.438 5.198
Tb 2.785 0.379 2.283
Tb 2.785 -0.379 7.465
Tb 2.785 -2.438 0.016
Tb 2.785 -3.992 7.122
Tb 2.785 -4.424 3.134
Tb 2.785 -9.546 0.000
Pr 2.785 1.732 9.670
Pr 2.785 -1.732 4.488
Tm 2.785 7.684 8.235
Tm 2.785 7.635 2.240
Tm 2.785 -7.635 7.422
Tm 2.785 -7.684 3.053
Sc 2.785 6.027 5.136
Sc 2.785 -6.027 10.318

=====

80
Lattice="-9.171 9.171 9.171 9.171 -9.171 9.171 9.171 9.171 -9.171" Properties=species:S:1:pos:R:3 comment="PBE Dy5Tm12Cd3, relaxed" magmom_total_mub_per_cell=0.00 volume_a3_per_atom=38.6 ef_ev_per_atom=0.889 pbc="T T T"
Dy 0.000 0.000 0.000
Dy 4.586 4.586 -4.586
Dy 4.586 -4.586 4.586
Dy 9.171 0.000 0.000
Dy 13.757 2.293 0.000
Dy 9.171 -4.586 6.878
Dy 6.878 9.171 -4.586
Dy 6.878 0.000 4.586
Dy 4.586 6.878 0.000
Dy 9.171 4.586 2.293
Dy -4.586 4.586 4.586
Dy 0.000 9.171 0.000
Dy 0.000 0.000 9.171
Dy 4.586 4.586 4.586
Dy 0.000 4.586 6.878
Dy 4.586 2.293 9.171
Dy 2.293 9.171 4.586
Dy 2.293 0.000 13.757
Dy 0.000 13.757 2.293
Dy -4.586 6.878 9.171
Tm 9.139 -1.528 2.720
Tm 13.789 -1.865 3.058
Tm 2.720 -0.033 1.528
Tm 11.036 6.113 -4.618
Tm 11.892 0.033 1.528
Tm 11.036 -3.058 4.618
Tm 1.528 2.720 -0.033
Tm 12.229 4.553 -1.865
Tm 6.113 4.618 -1.865
Tm 7.644 2.720 0.033
Tm -0.033 1.528 2.720
Tm 4.618 -1.865 6.113
Tm 9.139 7.644 -2.720
Tm 4.618 1.865 3.058
Tm 7.644 -2.720 9.139
Tm 6.113 -4.618 11.036
Tm 3.058 4.618 1.865
Tm 10.699 6.451 0.033
Tm 2.720 9.139 -1.528
Tm 11.036 3.058 4.553
Tm 1.865 3.058 4.618
Tm 2.720 0.033 7.644
Tm 4.618 11.036 -3.058
Tm 9.139 1.528 6.451
Tm 0.033 7.644 2.720
Tm 4.553 -1.865 12.229
Tm 6.451 9.139 1.528
Tm 7.306 6.113 4.553
Tm -1.865 6.113 4.618
Tm 6.451 0.033 10.699
Tm -1.528 2.720 9.139
Tm 6.113 4.553 7.306
Tm 3.058 13.789 -1.865
Tm 1.528 11.892 0.033
Tm 4.553 7.306 6.113
Tm 0.033 1.528 11.892
Tm 4.553 11.036 3.058
Tm 9.204 7.644 6.451
Tm 1.528 6.451 9.139
Tm 3.058 4.553 11.036
Tm -3.058 4.618 11.036
Tm 7.644 6.451 9.204
Tm -1.865 12.229 4.553
Tm -2.720 9.139 7.644
Tm -1.865 3.058 13.789
Tm 6.451 9.204 7.644
Tm -4.618 11.036 6.113
Tm 0.033 10.699 6.451
Cd 4.586 2.293 0.000
Cd 9.171 4.586 -2.293
Cd 2.293 0.000 4.586
Cd 11.464 0.000 4.586
Cd 0.000 4.586 2.293
Cd 4.586 -2.293 9.171
Cd 4.586 11.464 0.000
Cd 9.171 4.586 6.878
Cd -2.293 9.171 4.586
Cd 6.878 9.171 4.586
Cd 0.000 4.586 11.464
Cd 4.586 6.878 9.171

=====

4
Lattice="3.094 0.000 0.000 0.000 3.751 0.000 -0.044 0.000 5.753" Properties=species:S:1:pos:R:3 comment="PBE ZnCrAu2, relaxed" magmom_total_mub_per_cell=3.99 volume_a3_per_atom=16.7 ef_ev_per_atom=0.023 pbc="T T T"
Zn 0.000 0.000 0.000
Cr 1.514 1.876 4.290
Au 1.531 1.876 1.292
Au 3.062 0.000 2.969

=====

4
Lattice="1.656 0.956 10.784 -1.656 0.956 10.784 0.000 -1.912 10.784" Properties=species:S:1:pos:R:3 comment="PBE Ce2PuZr, relaxed" magmom_total_mub_per_cell=5.28 volume_a3_per_atom=25.6 e_above_lowest_polymorph_kj_per_mol_fu=7 ef_ev_per_atom=0.130 pbc="T T T"
Ce 0.000 0.000 0.000
Ce 0.000 0.000 5.329
Pu 0.000 0.000 13.346
Zr 0.000 0.000 18.880